Record 1
A plane-wave DFT calculation with GGA-PBE was carried out for SnHgBr after structural relaxation.

a = 4.166 Å, b = 4.166 Å, c = 11.083 Å
α = 90.00°, β = 90.00°, γ = 90.00°
Space group I4mm (No. 107)
Asymmetric unit:
Sn: 0.000 0.000 0.000 [2 per cell]
Hg: 0.000 0.000 0.275 [2 per cell]
Br: 0.000 0.000 0.586 [2 per cell]

Offset from the most stable computed form = 22 kJ/mol of formula units
Raw formation energy = -75 meV/atom
Final energy = -12.4 eV for the cell shown


Record 2
A plane-wave DFT calculation with GGA-PBE was carried out for SnHg2Br after structural relaxation.

a = 3.5959 Å, b = 3.5959 Å, c = 31.4711 Å
α = 90.00°, β = 90.00°, γ = 120.00°
Space group R-3m (No. 166, hexagonal axes)
Asymmetric unit:
Sn: 0.0000 0.0000 0.0000 [3 per cell]
Hg: 0.0000 0.0000 0.0937 [6 per cell]
Br: 0.0000 0.0000 0.5000 [3 per cell]

Offset from the most stable computed form = 21 kJ/mol of formula units
Raw formation energy = -39 meV/atom
Final energy = -19.3 eV for the cell shown


Record 3
A plane-wave DFT calculation with GGA-PBE was carried out for Sn2HgBr after structural relaxation.

a = 6.431 Å, b = 6.431 Å, c = 14.867 Å
α = 90.00°, β = 90.00°, γ = 90.00°
Space group I-42d (No. 122)
Asymmetric unit:
Sn: 0.218 0.250 0.125 [8 per cell]
Hg: 0.000 0.000 0.000 [4 per cell]
Br: 0.000 0.000 0.500 [4 per cell]

Offset from the most stable computed form = 46 kJ/mol of formula units
Raw formation energy = 163 meV/atom
Final energy = -37.3 eV for the cell shown